Record 1
{"formula": "HgAuO2", "functional": "PBE", "state": "optimized geometry", "cell": [[-5.337, 2.755, 2.991], [-3.021, 0.617, -5.959], [1.973, -6.619, 2.092]], "species": ["Hg", "Hg", "Hg", "Hg", "Au", "Au", "Au", "Au", "O", "O", "O", "O", "O", "O", "O", "O"], "fractional_positions": [[0.875, 0.625, 0.250], [0.375, 0.625, 0.250], [0.375, 0.125, 0.750], [0.375, 0.625, 0.750], [0.375, 0.125, 0.250], [0.875, 0.125, 0.250], [0.875, 0.625, 0.750], [0.875, 0.125, 0.750], [0.175, 0.983, 0.350], [0.175, 0.368, 0.350], [0.118, 0.425, 0.850], [0.575, 0.267, 0.150], [0.733, 0.425, 0.850], [0.575, 0.882, 0.150], [0.632, 0.825, 0.650], [0.017, 0.825, 0.650]], "formation_energy_uncorrected_kj_per_mol_atoms": -2.3, "volume_a3_per_atom": 15.30, "n_ef_per_ev_atom": 0.5036, "sg": "I4_1/amd"}

---

Record 2
{"formula": "Hg4AuO5", "functional": "PBE", "state": "optimized geometry", "cell": [[6.077, 0.000, 0.000], [3.039, 5.255, 0.000], [3.039, 0.000, 5.255]], "species": ["Hg", "Hg", "Hg", "Hg", "Au", "O", "O", "O", "O", "O"], "fractional_positions": [[0.458, 0.385, 0.804], [0.844, 0.804, 0.615], [0.262, 0.196, 0.385], [0.647, 0.615, 0.196], [0.978, 0.000, 0.000], [0.915, 0.317, 0.769], [0.232, 0.769, 0.683], [0.684, 0.231, 0.317], [0.001, 0.683, 0.231], [0.488, 0.000, 0.000]], "formation_energy_uncorrected_kj_per_mol_atoms": -9.5, "volume_a3_per_atom": 16.78, "n_ef_per_ev_atom": 0.2160, "sg": "I4"}

---

Record 3
{"formula": "HgAu2O4", "functional": "PBE", "state": "optimized geometry", "cell": [[6.012, -0.198, 0.000], [-3.119, 5.144, 0.000], [0.000, 0.000, 6.691]], "species": ["Hg", "Hg", "Au", "Au", "Au", "Au", "O", "O", "O", "O", "O", "O", "O", "O"], "fractional_positions": [[0.500, 0.500, 0.250], [0.500, 0.500, 0.750], [0.185, 0.840, 0.000], [0.815, 0.160, 0.000], [0.160, 0.815, 0.500], [0.840, 0.185, 0.500], [0.724, 0.781, 0.000], [0.276, 0.219, 0.000], [0.219, 0.276, 0.500], [0.781, 0.724, 0.500], [0.500, 0.000, 0.313], [0.000, 0.500, 0.187], [0.500, 0.000, 0.687], [0.000, 0.500, 0.813]], "formation_energy_uncorrected_kj_per_mol_atoms": 30.2, "volume_a3_per_atom": 14.49, "n_ef_per_ev_atom": 0.6922, "sg": "Cccm"}

---

Record 4
{"formula": "HgP2AuO", "functional": "PBE", "state": "optimized geometry", "cell": [[-1.999, 1.455, -4.432], [3.329, -2.933, -2.464], [-2.570, -3.050, 0.158]], "species": ["P", "P", "Au", "Hg", "O"], "fractional_positions": [[0.000, 0.500, 0.000], [0.500, 0.000, 0.000], [0.500, 0.500, 0.500], [0.000, 0.000, 0.000], [0.000, 0.000, 0.500]], "formation_energy_uncorrected_kj_per_mol_atoms": 114.0, "e_above_lowest_polymorph_mev_per_atom": 375, "volume_a3_per_atom": 20.56, "n_ef_per_ev_atom": 1.1611, "sg": "P4/mmm"}

---

Record 5
{"formula": "HgP2AuO8", "functional": "PBE", "state": "optimized geometry", "cell": [[-0.321, 4.573, 1.309], [-1.789, 1.137, 4.271], [6.274, 1.528, 4.883]], "species": ["Hg", "P", "P", "Au", "O", "O", "O", "O", "O", "O", "O", "O"], "fractional_positions": [[0.500, 0.500, 0.500], [0.255, 0.255, 0.236], [0.745, 0.745, 0.764], [0.000, 0.000, 0.000], [0.187, 0.187, 0.440], [0.587, 0.276, 0.173], [0.813, 0.813, 0.560], [0.964, 0.587, 0.173], [0.036, 0.413, 0.827], [0.276, 0.964, 0.173], [0.724, 0.036, 0.827], [0.413, 0.724, 0.827]], "formation_energy_uncorrected_kj_per_mol_atoms": -107.5, "volume_a3_per_atom": 12.49, "n_ef_per_ev_atom": 0.4270, "sg": "R-3"}

---

Record 6
{"formula": "HgP2AuO", "functional": "PBE", "state": "optimized geometry", "cell": [[4.969, 0.000, 0.000], [0.000, 4.969, 0.000], [0.000, 0.000, 3.968]], "species": ["P", "P", "Au", "Hg", "O"], "fractional_positions": [[0.000, 0.500, 0.000], [0.500, 0.000, 0.000], [0.000, 0.000, 0.000], [0.500, 0.500, 0.500], [0.000, 0.000, 0.500]], "formation_energy_uncorrected_kj_per_mol_atoms": 77.9, "e_above_lowest_polymorph_mev_per_atom": 0, "volume_a3_per_atom": 19.60, "n_ef_per_ev_atom": 0.9211, "sg": "P4/mmm"}

---

Record 7
{"formula": "HgPbAuO4", "functional": "PBE", "state": "optimized geometry", "cell": [[-4.578, -3.448, -2.868], [1.187, -1.355, 6.895], [-3.253, 5.641, -1.589]], "species": ["Hg", "Hg", "Pb", "Pb", "Au", "Au", "O", "O", "O", "O", "O", "O", "O", "O"], "fractional_positions": [[0.845, 0.690, 0.095], [0.155, 0.310, 0.905], [0.500, 0.000, 0.500], [0.500, 0.000, 0.000], [0.500, 0.500, 0.500], [0.000, 0.500, 0.500], [0.718, 0.436, 0.669], [0.252, 0.955, 0.227], [0.702, 0.955, 0.227], [0.718, 0.436, 0.268], [0.282, 0.564, 0.732], [0.748, 0.045, 0.773], [0.298, 0.045, 0.773], [0.282, 0.564, 0.331]], "formation_energy_uncorrected_kj_per_mol_atoms": -36.3, "volume_a3_per_atom": 16.60, "n_ef_per_ev_atom": 0.5285, "sg": "Imma"}

---

Record 8
{"formula": "Pm2Hg2AuO6", "functional": "PBE", "state": "optimized geometry", "cell": [[6.675, -0.332, 0.988], [-3.588, 5.639, 0.988], [-0.195, -0.335, 6.797]], "species": ["Pm", "Pm", "Hg", "Hg", "Au", "O", "O", "O", "O", "O", "O"], "fractional_positions": [[0.332, 0.668, 0.500], [0.668, 0.332, 0.500], [0.771, 0.229, 0.000], [0.229, 0.771, 0.000], [0.000, 0.000, 0.500], [0.694, 0.694, 0.524], [0.944, 0.421, 0.715], [0.306, 0.306, 0.476], [0.421, 0.944, 0.715], [0.056, 0.579, 0.285], [0.579, 0.056, 0.285]], "formation_energy_uncorrected_kj_per_mol_atoms": -152.0, "volume_a3_per_atom": 22.93, "n_ef_per_ev_atom": 0.3918, "sg": "C2/m"}

---

Record 9
{"formula": "Pm2HgAuO5", "functional": "PBE", "state": "optimized geometry", "cell": [[5.832, 0.000, 0.000], [0.000, 6.912, 0.000], [0.000, 0.000, 6.912]], "species": ["Pm", "Pm", "Pm", "Pm", "Hg", "Hg", "Au", "Au", "O", "O", "O", "O", "O", "O", "O", "O", "O", "O"], "fractional_positions": [[0.500, 0.676, 0.176], [0.500, 0.176, 0.324], [0.500, 0.824, 0.676], [0.500, 0.324, 0.824], [0.000, 0.500, 0.500], [0.000, 0.000, 0.000], [0.000, 0.000, 0.500], [0.000, 0.500, 0.000], [0.500, 0.500, 0.500], [0.500, 0.000, 0.000], [0.266, 0.131, 0.631], [0.266, 0.869, 0.369], [0.266, 0.369, 0.131], [0.266, 0.631, 0.869], [0.734, 0.131, 0.631], [0.734, 0.631, 0.869], [0.734, 0.869, 0.369], [0.734, 0.369, 0.131]], "formation_energy_uncorrected_kj_per_mol_atoms": -176.3, "volume_a3_per_atom": 15.48, "n_ef_per_ev_atom": 0.3893, "sg": "P4/mbm"}

---

Record 10
{"formula": "Pm4HgAuO", "functional": "PBE", "state": "optimized geometry", "cell": [[-6.864, -0.372, -0.337], [0.498, -4.545, -5.130], [3.493, -5.535, 5.244]], "species": ["Pm", "Pm", "Pm", "Pm", "Pm", "Pm", "Pm", "Pm", "Hg", "Hg", "Au", "Au", "O", "O"], "fractional_positions": [[0.935, 0.250, 0.869], [0.424, 0.750, 0.847], [0.065, 0.750, 0.131], [0.576, 0.250, 0.153], [0.500, 0.500, 0.500], [0.000, 0.000, 0.500], [0.500, 0.000, 0.500], [0.000, 0.500, 0.500], [0.618, 0.750, 0.236], [0.382, 0.250, 0.764], [0.122, 0.250, 0.244], [0.878, 0.750, 0.756], [0.255, 0.750, 0.509], [0.745, 0.250, 0.491]], "formation_energy_uncorrected_kj_per_mol_atoms": -110.4, "volume_a3_per_atom": 25.83, "n_ef_per_ev_atom": 0.8376, "sg": "Cmcm"}

---

Record 11
{"formula": "PmHgAuO4", "functional": "PBE", "state": "optimized geometry", "cell": [[-5.636, 2.556, -2.244], [0.287, -7.150, 0.791], [-0.305, 4.516, 5.909]], "species": ["Pm", "Pm", "Hg", "Hg", "Au", "Au", "O", "O", "O", "O", "O", "O", "O", "O"], "fractional_positions": [[0.500, 0.000, 0.500], [0.500, 0.000, 0.000], [0.938, 0.876, 0.188], [0.062, 0.124, 0.812], [0.500, 0.500, 0.500], [0.000, 0.500, 0.500], [0.730, 0.460, 0.650], [0.253, 0.905, 0.202], [0.652, 0.905, 0.202], [0.730, 0.460, 0.310], [0.270, 0.540, 0.690], [0.747, 0.095, 0.798], [0.348, 0.095, 0.798], [0.270, 0.540, 0.350]], "formation_energy_uncorrected_kj_per_mol_atoms": -122.5, "volume_a3_per_atom": 18.23, "sg": "Imma"}

---

Record 12
{"formula": "Pr2HgAuO5", "functional": "PBE", "state": "optimized geometry", "cell": [[5.843, 0.000, 0.000], [0.000, 7.040, 0.000], [0.000, 0.000, 7.040]], "species": ["Pr", "Pr", "Pr", "Pr", "Hg", "Hg", "Au", "Au", "O", "O", "O", "O", "O", "O", "O", "O", "O", "O"], "fractional_positions": [[0.500, 0.677, 0.177], [0.500, 0.177, 0.323], [0.500, 0.823, 0.677], [0.500, 0.323, 0.823], [0.000, 0.500, 0.500], [0.000, 0.000, 0.000], [0.000, 0.000, 0.500], [0.000, 0.500, 0.000], [0.500, 0.500, 0.500], [0.500, 0.000, 0.000], [0.264, 0.130, 0.630], [0.264, 0.870, 0.370], [0.264, 0.370, 0.130], [0.264, 0.630, 0.870], [0.736, 0.130, 0.630], [0.736, 0.630, 0.870], [0.736, 0.870, 0.370], [0.736, 0.370, 0.130]], "formation_energy_uncorrected_kj_per_mol_atoms": -172.8, "volume_a3_per_atom": 16.09, "n_ef_per_ev_atom": 0.3981, "sg": "P4/mbm"}

---

Q: Which formula does entry 3 have?
A: HgAu2O4